(1)
AlTlIrC2, relaxed, DFT PBEsol; N(E_F) = 0.627 states/eV/atom; formation enthalpy at 0 K = 1.1975 eV per atom; final energy = -5.969 eV/atom; symmetry = P4/mmm, No. 123
1.0
3.912 0.000 0.000
0.000 3.912 0.000
0.000 0.000 5.366
Al Tl Ir C
1 1 1 2
direct
0.000 0.000 0.000 Al
0.500 0.500 0.000 Tl
0.000 0.000 0.500 Ir
0.000 0.500 0.500 C
0.500 0.000 0.500 C

---

(2)
CuIr2Cl, relaxed, DFT PBEsol; N(E_F) = 1.217 states/eV/atom; final energy = -5.712 eV/atom; symmetry = P4/mmm, No. 123; energy relative to the lowest polymorph listed for this composition = 1.39 eV/f.u.; raw formation energy = 0.785 eV per atom
1.0
2.788 0.000 0.000
0.000 2.788 0.000
0.000 0.000 7.118
Cu Ir Cl
1 2 1
direct
0.000 0.000 0.000 Cu
0.500 0.500 0.235 Ir
0.500 0.500 0.765 Ir
0.000 0.000 0.500 Cl

---

(3)
ZrZnHg, relaxed, DFT PBEsol; N(E_F) = 0.540 states/eV/atom; formation enthalpy at 0 K = 0.2481 eV per atom; final energy = -3.498 eV/atom; symmetry = F-43m, No. 216; energy relative to the lowest polymorph listed for this composition = 1.54 eV/f.u.
1.0
0.000 3.221 3.221
3.221 0.000 3.221
3.221 3.221 0.000
Zr Zn Hg
1 1 1
direct
0.000 0.000 0.000 Zr
0.250 0.250 0.250 Zn
0.750 0.750 0.750 Hg